(1)
LiCa2FeCo: relaxed, PBE.

Cell: 5.195 3.964 5.195 Å, 90.00 90.00 90.00°
Each line ends with the local moment (μB).
Element x y z (fractional)
Ca 0.000 0.000 0.500  0.09
Ca 0.500 0.000 0.000  0.09
Co 0.000 0.500 0.000  -0.79
Fe 0.500 0.500 0.500  -3.01
Li 0.000 0.000 0.000  0.06

Results
E_form (eV per atom): 0.945
Crystal system: tetragonal
Final energy (Ry per atom): -0.2464
Space group: P4/mmm (123)

---

(2)
CaMgFe2Co: relaxed, PBE.

Cell: 4.550 5.317 4.550 Å, 90.00 90.00 90.00°
Each line ends with the local moment (μB).
Element x y z (fractional)
Mg 0.000 0.000 0.000  -0.07
Ca 0.000 0.500 0.000  -0.13
Co 0.500 0.500 0.500  1.94
Fe 0.000 0.000 0.500  2.74
Fe 0.500 0.000 0.000  2.74

Results
E_form (eV per atom): 1.589
Crystal system: tetragonal
Final energy (Ry per atom): -0.2893
Space group: P4/mmm (123)

---

(3)
Ca2FeCoMo: relaxed, PBE.

Cell: 5.388 4.289 5.388 Å, 90.00 90.00 90.00°
Each line ends with the local moment (μB).
Element x y z (fractional)
Mo 0.500 0.500 0.500  3.21
Ca 0.000 0.000 0.500  -0.03
Ca 0.500 0.000 0.000  -0.02
Co 0.000 0.500 0.000  1.70
Fe 0.000 0.000 0.000  2.38

Results
E_form (eV per atom): 1.200
Crystal system: tetragonal
Final energy (Ry per atom): -0.3587
Space group: P4/mmm (123)

---

(4)
CaFeCoNi2: relaxed, PBE.

Cell: 4.427 4.362 4.427 Å, 90.00 90.00 90.00°
Each line ends with the local moment (μB).
Element x y z (fractional)
Ni 0.000 0.000 0.500  0.76
Ni 0.500 0.000 0.000  0.50
Ca 0.500 0.500 0.500  -0.05
Co 0.000 0.500 0.000  1.65
Fe 0.000 0.000 0.000  2.45

Results
E_form (eV per atom): 0.484
Crystal system: tetragonal
Final energy (Ry per atom): -0.3926
Space group: P4/mmm (123)